1.
This record from the Alexandria database describes a relaxed KPdPtO4 crystal. The functional is PBE.

```
KPdPtO4
1.0
-3.1681 3.2049 5.0567
3.1681 -3.2049 5.0567
3.1681 3.2049 -5.0567
K Pd Pt O
2 2 2 8
direct
0.3903 0.1403 0.2500 K
0.6097 0.8597 0.7500 K
0.0000 0.0000 0.5000 Pd
0.0000 0.5000 0.0000 Pd
0.0000 0.5000 0.5000 Pt
0.5000 0.5000 0.0000 Pt
0.1562 0.7018 0.4544 O
0.2371 0.2868 0.5497 O
0.2371 0.6874 0.9503 O
0.2525 0.2982 0.9544 O
0.7475 0.7018 0.0456 O
0.7629 0.3126 0.0497 O
0.7629 0.7132 0.4503 O
0.8438 0.2982 0.5456 O
```

As for the total energy: -5.2823 eV per atom. The density of states at the Fermi level comes out at 1.96 states/eV/cell.

---

2.
This record from the Alexandria database describes a relaxed K2PdPtO crystal. The functional is PBE.

```
K2PdPtO
1.0
6.3751 0.0000 0.0000
0.0000 6.3751 0.0000
0.0000 0.0000 3.7108
K Pd Pt O
2 1 1 1
direct
0.0000 0.5000 0.0000 K
0.5000 0.0000 0.0000 K
0.0000 0.0000 0.5000 Pd
0.5000 0.5000 0.0000 Pt
0.5000 0.5000 0.5000 O
```

As for the total energy: -3.8086 eV per atom. The density of states at the Fermi level comes out at 1.84 states/eV/cell.

---

3.
This record from the Alexandria database describes a relaxed KPdPtO2 crystal. The functional is PBE.

```
KPdPtO2
1.0
3.2843 -6.1310 0.0000
3.2843 6.1310 0.0000
0.0000 0.0000 4.4688
K Pd Pt O
2 2 2 4
direct
0.2500 0.7500 0.8152 K
0.7500 0.2500 0.1848 K
0.0000 0.0000 0.0000 Pd
0.5000 0.5000 0.0000 Pd
0.2500 0.2500 0.5000 Pt
0.7500 0.7500 0.5000 Pt
0.0990 0.9010 0.3916 O
0.4010 0.5990 0.3916 O
0.5990 0.4010 0.6084 O
0.9010 0.0990 0.6084 O
```

As for the total energy: -4.9525 eV per atom. The density of states at the Fermi level comes out at 5.60 states/eV/cell.

---

4.
This record from the Alexandria database describes a relaxed K3Pd2PtO6 crystal. The functional is PBE.

```
K3Pd2PtO6
1.0
2.8877 -5.1015 0.0000
2.8877 5.1015 0.0000
-1.8563 0.0000 5.7393
K Pd Pt O
3 2 1 6
direct
0.0000 0.0000 0.0000 K
0.3274 0.6726 0.0000 K
0.6726 0.3274 0.0000 K
0.1637 0.8363 0.5000 Pd
0.8363 0.1637 0.5000 Pd
0.5000 0.5000 0.5000 Pt
0.1244 0.4371 0.3327 O
0.2465 0.2465 0.6829 O
0.4371 0.1244 0.3327 O
0.5629 0.8756 0.6673 O
0.7535 0.7535 0.3171 O
0.8756 0.5629 0.6673 O
```

As for the total energy: -4.9006 eV per atom. The density of states at the Fermi level comes out at 3.14 states/eV/cell.

---

5.
This record from the Alexandria database describes a relaxed K3Pu2PdO9 crystal. The functional is PBE.

```
K3Pu2PdO9
1.0
5.9147 0.0000 0.0000
-2.9573 5.1223 0.0000
0.0000 0.0000 7.2785
K Pu Pd O
3 2 1 9
direct
0.0000 0.0000 0.0000 K
0.3333 0.6667 0.6587 K
0.6667 0.3333 0.3413 K
0.3333 0.6667 0.1744 Pu
0.6667 0.3333 0.8256 Pu
0.0000 0.0000 0.5000 Pd
0.0000 0.5000 0.0000 O
0.1701 0.3402 0.3278 O
0.1701 0.8299 0.3278 O
0.3402 0.1701 0.6722 O
0.5000 0.0000 0.0000 O
0.5000 0.5000 0.0000 O
0.6599 0.8299 0.3278 O
0.8299 0.1701 0.6722 O
0.8299 0.6599 0.6722 O
```

As for the total energy: -7.4489 eV per atom. The density of states at the Fermi level comes out at 6.42 states/eV/cell.

---

6.
This record from the Alexandria database describes a relaxed K2PuPdO6 crystal. The functional is PBE.

```
K2PuPdO6
1.0
-2.8652 2.8652 4.9052
2.8652 -2.8652 4.9052
2.8652 2.8652 -4.9052
K Pu Pd O
2 1 1 6
direct
0.2500 0.7500 0.5000 K
0.7500 0.2500 0.5000 K
0.0000 0.0000 0.0000 Pu
0.5000 0.5000 0.0000 Pd
0.1917 0.1917 0.0000 O
0.2576 0.2576 0.5151 O
0.2576 0.7424 0.0000 O
0.7424 0.2576 0.0000 O
0.7424 0.7424 0.4849 O
0.8083 0.8083 0.0000 O
```

As for the total energy: -6.8489 eV per atom. The density of states at the Fermi level comes out at 8.10 states/eV/cell.

---

7.
This record from the Alexandria database describes a relaxed KRb2PdO2 crystal. The functional is PBE.

```
KRb2PdO2
1.0
6.1145 0.0000 0.0000
0.0000 11.3601 0.0000
0.0000 0.0000 4.3958
K Rb Pd O
2 4 2 4
direct
0.0000 0.0000 0.0000 K
0.5000 0.5000 0.5000 K
0.0965 0.2688 0.5000 Rb
0.4035 0.7688 0.0000 Rb
0.5965 0.2312 0.0000 Rb
0.9035 0.7312 0.5000 Rb
0.0000 0.5000 0.0000 Pd
0.5000 0.0000 0.5000 Pd
0.2448 0.8933 0.5000 O
0.2552 0.3933 0.0000 O
0.7448 0.6067 0.0000 O
0.7552 0.1067 0.5000 O
```

As for the total energy: -3.8838 eV per atom. The density of states at the Fermi level comes out at 12.28 states/eV/cell.

---

8.
This record from the Alexandria database describes a relaxed K2Rb2PdO4 crystal. The functional is PBE.

```
K2Rb2PdO4
1.0
-3.2066 3.2066 4.3303
3.2066 -3.2066 4.3303
3.2066 3.2066 -4.3303
K Rb Pd O
2 2 1 4
direct
0.2500 0.7500 0.5000 K
0.7500 0.2500 0.5000 K
0.1658 0.1658 0.0000 Rb
0.8342 0.8342 0.0000 Rb
0.5000 0.5000 0.0000 Pd
0.2797 0.2797 0.5595 O
0.2797 0.7203 0.0000 O
0.7203 0.2797 0.0000 O
0.7203 0.7203 0.4405 O
```

As for the total energy: -4.0077 eV per atom. The density of states at the Fermi level comes out at 8.97 states/eV/cell.

---

9.
This record from the Alexandria database describes a relaxed K6Rb2PdO crystal. The functional is PBE.

```
K6Rb2PdO
1.0
8.7827 0.0000 0.0000
-2.1139 8.5310 0.0000
-3.9721 -3.7492 7.2160
K Rb Pd O
6 2 1 1
direct
0.0000 0.0000 0.0000 K
0.0146 0.8932 0.3591 K
0.3834 0.3250 0.7157 K
0.4634 0.3437 0.3616 K
0.5969 0.8469 0.4452 K
0.9759 0.3616 0.3423 K
0.3913 0.8735 0.8602 Rb
0.9818 0.4681 0.8615 Rb
0.9141 0.6916 0.6075 Pd
0.1728 0.1851 0.3614 O
```

As for the total energy: -2.1136 eV per atom. The density of states at the Fermi level comes out at 4.30 states/eV/cell.

---

10.
This record from the Alexandria database describes a relaxed KRb2PdO4 crystal. The functional is PBE.

```
KRb2PdO4
1.0
-3.4695 3.4695 3.4964
3.4695 -3.4695 3.4964
3.4695 3.4695 -3.4964
K Rb Pd O
1 2 1 4
direct
0.0000 0.0000 0.0000 K
0.0000 0.5000 0.5000 Rb
0.5000 0.0000 0.5000 Rb
0.5000 0.5000 0.0000 Pd
0.1714 0.1714 0.7063 O
0.4651 0.4651 0.2937 O
0.5349 0.8286 0.0000 O
0.8286 0.5349 0.0000 O
```

As for the total energy: -4.2613 eV per atom.

---

11.
This record from the Alexandria database describes a relaxed KRbPd2O crystal. The functional is PBE.

```
KRbPd2O
1.0
5.2042 0.0000 0.0000
0.0000 5.2042 0.0000
0.0000 0.0000 9.4278
K Rb Pd O
1 1 2 1
direct
0.0000 0.0000 0.0000 K
0.0000 0.0000 0.5000 Rb
0.0000 0.5000 0.5000 Pd
0.5000 0.0000 0.5000 Pd
0.5000 0.5000 0.0000 O
```

As for the total energy: -2.4464 eV per atom. The density of states at the Fermi level comes out at 10.06 states/eV/cell.

---

12.
This record from the Alexandria database describes a relaxed KRe2PdO8 crystal. The functional is PBE.

```
KRe2PdO8
1.0
4.5762 -3.1842 0.0000
4.5762 3.1842 0.0000
-0.7512 0.0000 7.9760
K Re Pd O
1 2 1 8
direct
0.0000 0.0000 0.0000 K
0.3661 0.3661 0.7309 Re
0.6339 0.6339 0.2691 Re
0.0000 0.0000 0.5000 Pd
0.2265 0.2265 0.5623 O
0.2473 0.7021 0.7185 O
0.2890 0.2890 0.9228 O
0.2979 0.7527 0.2815 O
0.7021 0.2473 0.7185 O
0.7110 0.7110 0.0772 O
0.7527 0.2979 0.2815 O
0.7735 0.7735 0.4377 O
```

As for the total energy: -7.3798 eV per atom. The density of states at the Fermi level comes out at 1.31 states/eV/cell.